The following is a GGA-PBEsol calculation of ZrSi2P after structural relaxation, from the Alexandria database.

Cell and atoms, written as extended XYZ:
```
4
Lattice="3.6851 0.0000 0.0000 0.0000 3.6851 0.0000 -1.8426 -1.8426 4.6134" Properties=species:S:1:pos:R:3 pbc="T T T"
Zr 1.8426 1.8426 0.0000
Si 1.8426 0.0000 2.3067
Si 0.0000 1.8426 2.3067
P 0.0000 0.0000 0.0000
```

Results
**Raw total energy**: -6.990 eV/atom
**Formation energy (no corrections)**: -0.40 eV per atom
**Calculated density**: 4.73 g cm⁻³
**DOS(E_F)**: 2.26 states/eV per cell
**Symmetry**: I4/mmm (139)